Computed, not measured: Tb2NdMg after structural relaxation at the PBE level of DFT.

a = 3.693 Å, b = 3.693 Å, c = 8.981 Å
α = 90.00°, β = 90.00°, γ = 90.00°
Positions (direct):
Tb  0.000  0.000  0.777
Tb  0.000  0.000  0.223
Nd  0.500  0.500  0.500
Mg  0.500  0.500  0.000

Energy above the most stable polymorph in this dataset ... 5 meV per atom
Energy of formation from the pure elements ... -0.028 eV/atom
SG ... No. 123

***

Computed, not measured: Cd2Sn2Pd after structural relaxation at the PBE level of DFT.

a = 3.774 Å, b = 3.774 Å, c = 9.266 Å
α = 78.25°, β = 78.25°, γ = 90.00°
Positions (direct):
Cd  0.750  0.250  0.500
Cd  0.250  0.750  0.500
Pd  0.000  0.000  0.000
Sn  0.416  0.416  0.168
Sn  0.584  0.584  0.832

Energy above the most stable polymorph in this dataset ... 179 meV per atom
Energy of formation from the pure elements ... 0.129 eV/atom
SG ... No. 139

***

Computed, not measured: CeThSb2 after structural relaxation at the PBE level of DFT.

a = 4.765 Å, b = 4.285 Å, c = 12.526 Å
α = 99.85°, β = 90.00°, γ = 90.00°
Last column: magnetic moment on the atom in μB.
Positions (direct):
Th  0.750  0.559  0.119  0.00
Th  0.250  0.441  0.881  0.00
Sb  0.250  0.313  0.625  -0.02
Sb  0.250  0.054  0.109  0.00
Sb  0.750  0.946  0.891  0.00
Sb  0.750  0.687  0.375  -0.02
Ce  0.250  0.185  0.369  0.78
Ce  0.750  0.815  0.631  0.78

Energy above the most stable polymorph in this dataset ... 78 meV per atom
SG ... No. 63

***

Computed, not measured: Al2V2Ge after structural relaxation at the PBE level of DFT.

a = 6.306 Å, b = 6.306 Å, c = 3.907 Å
α = 90.00°, β = 90.00°, γ = 90.00°
Positions (direct):
Ge  0.000  0.000  0.000
Ge  0.500  0.500  0.000
Al  0.845  0.345  0.500
Al  0.155  0.655  0.500
Al  0.345  0.155  0.500
Al  0.655  0.845  0.500
V  0.359  0.859  0.000
V  0.859  0.641  0.000
V  0.141  0.359  0.000
V  0.641  0.141  0.000

Energy above the most stable polymorph in this dataset ... 0 meV per atom
Energy of formation from the pure elements ... -0.144 eV/atom
SG ... No. 127

***

Computed, not measured: Pr2YAl12Fe3 after structural relaxation at the PBE level of DFT.

a = 7.992 Å, b = 7.992 Å, c = 7.992 Å
α = 64.77°, β = 64.77°, γ = 64.77°
Positions (direct):
Al  0.729  0.080  0.729
Al  0.271  0.920  0.271
Al  0.838  0.838  0.474
Al  0.920  0.271  0.271
Al  0.838  0.474  0.838
Al  0.162  0.162  0.526
Al  0.729  0.729  0.080
Al  0.474  0.838  0.838
Al  0.162  0.526  0.162
Al  0.080  0.729  0.729
Al  0.271  0.271  0.920
Al  0.526  0.162  0.162
Fe  0.000  0.500  0.000
Fe  0.500  0.000  0.000
Fe  0.000  0.000  0.500
Pr  0.583  0.583  0.583
Pr  0.417  0.417  0.417
Y  0.000  0.000  0.000

Energy of formation from the pure elements ... 0.122 eV/atom
SG ... No. 166

***

Computed total energy, in the same sequence as the records: -3.934, -2.876, -6.315, -6.212, -4.674 eV/atom.